Computed, not measured: a relaxed structure of NpI2Br2 at the GGA-PBE level of DFT.

abc: 8.8854 9.4009 10.7312
angles: 90.00 90.00 90.00
Space group Immm (No. 71)
Inequivalent atoms, fractional coordinates:
Np (0.2484, 0.0000, 0.0000)
I (0.0000, 0.0000, 0.1994)
I (0.0000, 0.5000, 0.3035)
Br (0.2420, 0.2830, 0.0000)

Summary:
Total energy = -4.838 eV/atom
Volume = 44.819 A^3/atom
Crystal system = orthorhombic


Computed, not measured: a relaxed structure of Sm2IBrO2 at the GGA-PBE level of DFT.

abc: 3.9802 3.9802 8.5730
angles: 90.00 90.00 90.00
Space group P4mm (No. 99)
Inequivalent atoms, fractional coordinates:
Sm (0.0000, 0.0000, 0.0000)
Sm (0.5000, 0.5000, 0.2727)
I (0.5000, 0.5000, 0.7765)
Br (0.0000, 0.0000, 0.4602)
O (0.0000, 0.5000, 0.1355)

Summary:
Total energy = -6.537 eV/atom
Volume = 22.636 A^3/atom
Crystal system = tetragonal


Computed, not measured: a relaxed structure of TaI2BrO at the GGA-PBE level of DFT.

abc: 15.0259 3.8857 13.0911
angles: 90.00 121.15 90.00
Space group C2/m (No. 12)
Inequivalent atoms, fractional coordinates:
Ta (0.1252, 0.0000, 0.1935)
I (0.1020, 0.0000, 0.9578)
I (0.1044, 0.0000, 0.3840)
Br (0.1851, 0.5000, 0.7164)
O (0.1177, 0.5000, 0.1830)

Summary:
Total energy = -5.549 eV/atom
Volume = 32.708 A^3/atom
Crystal system = monoclinic


Computed, not measured: a relaxed structure of TaIBr2O at the GGA-PBE level of DFT.

abc: 14.7735 3.8678 12.6764
angles: 90.00 120.62 90.00
Space group C2/m (No. 12)
Inequivalent atoms, fractional coordinates:
Ta (0.1259, 0.0000, 0.1987)
I (0.1032, 0.0000, 0.9554)
Br (0.1056, 0.0000, 0.3787)
Br (0.1828, 0.5000, 0.7131)
O (0.1170, 0.5000, 0.1843)

Summary:
Total energy = -5.692 eV/atom
Volume = 31.166 A^3/atom
Crystal system = monoclinic


Computed, not measured: a relaxed structure of Tm2PIBr at the GGA-PBE level of DFT.

abc: 3.9994 3.9994 10.8449
angles: 90.00 90.00 120.00
Space group P3m1 (No. 156)
Inequivalent atoms, fractional coordinates:
Tm (0.0000, 0.0000, 0.0000)
Tm (0.3333, 0.6667, 0.7299)
P (0.6667, 0.3333, 0.8653)
I (0.0000, 0.0000, 0.5414)
Br (0.3333, 0.6667, 0.1649)

Summary:
Total energy = -5.124 eV/atom
Volume = 30.045 A^3/atom
Crystal system = trigonal


Computed, not measured: a relaxed structure of PaI2Br2 at the GGA-PBE level of DFT.

abc: 7.4633 14.6648 4.4155
angles: 90.00 90.00 90.00
Space group Pbam (No. 55)
Inequivalent atoms, fractional coordinates:
Pa (0.0000, 0.0000, 0.0000)
I (0.1924, 0.1120, 0.5000)
Br (0.2282, 0.3790, 0.0000)

Summary:
Total energy = -4.357 eV/atom
Volume = 48.326 A^3/atom
Crystal system = orthorhombic


Computed, not measured: a relaxed structure of PaI2Br2 at the GGA-PBE level of DFT.

abc: 8.7930 9.5225 10.8991
angles: 90.00 90.00 90.00
Space group Immm (No. 71)
Inequivalent atoms, fractional coordinates:
Pa (0.2456, 0.0000, 0.0000)
I (0.0000, 0.0000, 0.2044)
I (0.0000, 0.5000, 0.3020)
Br (0.2396, 0.2834, 0.0000)

Summary:
Total energy = -4.356 eV/atom
Volume = 45.630 A^3/atom
Crystal system = orthorhombic


Computed, not measured: a relaxed structure of PaI3Br at the GGA-PBE level of DFT.

abc: 10.5269 11.0401 8.7724
angles: 90.00 90.00 90.00
Space group Ima2 (No. 46)
Inequivalent atoms, fractional coordinates:
Pa (0.2500, 0.2497, 0.0000)
I (0.0283, 0.7500, 0.9998)
I (0.2500, 0.0504, 0.2503)
Br (0.2500, 0.0794, 0.7497)

Summary:
Total energy = -4.202 eV/atom
Volume = 50.976 A^3/atom
Crystal system = orthorhombic